1.
VASP calculation (PBE) on a geometry-optimized CuBr structure.

Results
The calculated volume is 44.4 Å³/f.u. As for the energy relative to the elements, uncorrected: -0.10 eV/atom.

Cell: 3.5403 3.5403 7.0792 Å, 90.00 90.00 90.00°
Space group P4/nmm (No. 129, origin choice 2)
Asymmetric unit:
Cu (0.2500, 0.2500, 0.0819)
Br (0.2500, 0.2500, 0.7438)

=====

2.
VASP calculation (PBE) on a geometry-optimized TaTi2Au2 structure.

Results
The calculated volume is 90.6 Å³/f.u. As for the calculated formation energy: -224 meV per atom. The calculation puts the energy relative to the lowest polymorph listed for this composition at 0.000 eV/atom.

Cell: 3.3776 17.0987 3.1361 Å, 90.00 90.00 90.00°
Space group Cmmm (No. 65)
Asymmetric unit:
Ta (0.0000, 0.0000, 0.0000)
Ti (0.0000, 0.4050, 0.5000)
Au (0.0000, 0.1839, 0.0000)

=====

3.
VASP calculation (PBE) on a geometry-optimized Nb3AlV8 structure.

Results
The calculated volume is 180.5 Å³/f.u. As for the calculated formation energy: -39 meV per atom.

Cell: 5.0281 5.0281 8.2422 Å, 90.00 90.00 120.00°
Space group P3m1 (No. 156)
Asymmetric unit:
Nb (0.0000, 0.0000, 0.0000)
Nb (0.0000, 0.0000, 0.3741)
Nb (0.3333, 0.6667, 0.8743)
Al (0.3333, 0.6667, 0.5005)
V (0.0048, 0.5024, 0.1880)
V (0.3262, 0.1631, 0.6870)
V (0.6667, 0.3333, 0.4336)
V (0.6667, 0.3333, 0.9354)

=====

4.
VASP calculation (PBE) on a geometry-optimized Zn2GaB structure.

Results
The calculated volume is 60.5 Å³/f.u. As for the calculated formation energy: 568 meV per atom. The calculation puts the energy relative to the lowest polymorph listed for this composition at 0.000 eV/atom.

Cell: 4.0336 4.0336 14.8858 Å, 90.00 90.00 90.00°
Space group I-42d (No. 122)
Asymmetric unit:
Zn (0.1791, 0.2500, 0.1250)
Ga (0.0000, 0.0000, 0.5000)
B (0.0000, 0.0000, 0.0000)

=====

5.
VASP calculation (PBE) on a geometry-optimized ReMo3 structure.

Results
The calculated volume is 63.1 Å³/f.u. As for the calculated formation energy: 288 meV per atom.

Cell: 3.9817 3.9817 3.9817 Å, 90.00 90.00 90.00°
Space group Pm-3m (No. 221)
Asymmetric unit:
Re (0.0000, 0.0000, 0.0000)
Mo (0.0000, 0.5000, 0.5000)

=====

6.
VASP calculation (PBE) on a geometry-optimized HgPb3Au2 structure.

Results
The calculated volume is 159.6 Å³/f.u. As for the calculated formation energy: -26 meV per atom.

Cell: 9.8363 6.8418 11.4403 Å, 90.00 123.97 90.00°
Space group P2_1/c (No. 14)
Asymmetric unit:
Hg (0.1531, 0.2048, 0.3870)
Pb (0.2129, 0.0362, 0.1476)
Pb (0.2136, 0.5537, 0.1924)
Pb (0.4426, 0.7459, 0.0413)
Au (0.0877, 0.7340, 0.9043)
Au (0.4606, 0.1712, 0.6600)

=====

7.
VASP calculation (PBE) on a geometry-optimized SrZrTe2 structure.

Results
The calculated volume is 121.1 Å³/f.u. As for the energy relative to the elements, uncorrected: -1.01 eV/atom. The calculation puts the energy relative to the lowest polymorph listed for this composition at 0.063 eV/atom.

Cell: 3.9459 4.0674 15.0880 Å, 90.00 90.00 90.00°
Space group Imm2 (No. 44)
Asymmetric unit:
Sr (0.0000, 0.0000, 0.0000)
Zr (0.0000, 0.5000, 0.2502)
Te (0.0000, 0.0000, 0.6073)
Te (0.0000, 0.5000, 0.8254)

=====

8.
VASP calculation (PBE) on a geometry-optimized LiNpO4 structure.

Results
The calculated volume is 81.1 Å³/f.u. As for the energy relative to the elements, uncorrected: -2.45 eV/atom. The calculation puts the energy relative to the lowest polymorph listed for this composition at 0.000 eV/atom.

Cell: 5.8065 5.1763 6.0479 Å, 90.00 116.83 90.00°
Space group P2_1/c (No. 14)
Asymmetric unit:
Li (0.0000, 0.0000, 0.0000)
Np (0.5000, 0.0000, 0.5000)
O (0.1877, 0.1734, 0.3792)
O (0.3530, 0.6895, 0.6777)